Record 1
# CaTbCeTm

A relaxed structure of CaTbCeTm (PBE, Alexandria).

Structure (extended XYZ):
```
4
Lattice="-1.602 -0.982 -5.421 3.870 -1.727 -3.867 -0.158 -5.369 -2.017" Properties=species:S:1:pos:R:3 pbc="T T T"
Tm 1.055 -4.039 -5.653
Tb 0.000 0.000 0.000
Ca 0.527 -2.019 -2.826
Ce 1.582 -6.058 -8.479
```

Results
Fermi-level density of states = 2.337 states/eV/atom
Formation enthalpy at 0 K = 0.24 eV/atom

=====

Record 2
# Ca2CeTe3

A relaxed structure of Ca2CeTe3 (PBE, Alexandria).

Structure (extended XYZ):
```
12
Lattice="-6.587 0.733 -4.117 3.251 -7.030 0.942 -2.863 1.092 7.242" Properties=species:S:1:pos:R:3 pbc="T T T"
Ca -3.106 -2.597 2.030
Te -3.212 0.007 0.193
Ca 0.186 -5.195 3.723
Te -6.292 -2.605 2.175
Te -3.214 -4.455 -0.538
Ce -3.311 -1.852 -2.432
Te -2.986 -5.177 3.880
Ca -6.379 -0.015 0.347
Te -2.959 -0.770 4.619
Ce -9.447 1.822 3.126
Te 0.066 -2.616 1.874
Ca -0.028 -4.442 -0.744
```

Results
Fermi-level density of states = 1.512 states/eV/atom
Raw formation energy = -145 kJ/mol of atoms

=====

Record 3
# CaCe4Te5

A relaxed structure of CaCe4Te5 (PBE, Alexandria).

Structure (extended XYZ):
```
10
Lattice="5.732 0.000 2.765 2.866 7.110 1.382 -0.223 0.000 7.786" Properties=species:S:1:pos:R:3 pbc="T T T"
Te 4.515 1.385 5.302
Te 2.270 4.296 2.633
Ce 1.630 1.459 3.959
Ca 0.007 0.000 0.003
Ce 6.756 5.651 7.980
Ce 5.104 4.252 4.082
Ce 3.283 2.857 7.857
Te 6.117 2.814 9.306
Te 2.872 0.000 1.385
Te 3.871 5.725 6.637
```

Results
Fermi-level density of states = 2.996 states/eV/atom
Raw formation energy = -135 kJ/mol of atoms

=====

Record 4
# CaCe5Te8

A relaxed structure of CaCe5Te8 (PBE, Alexandria).

Structure (extended XYZ):
```
14
Lattice="7.826 0.000 -2.683 -3.908 6.734 -2.795 -0.009 0.000 8.273" Properties=species:S:1:pos:R:3 pbc="T T T"
Te 7.206 0.679 3.080
Ce -1.444 2.516 -0.002
Te -1.922 5.047 -2.209
Te 5.058 1.662 0.297
Te 1.197 1.687 1.691
Te 3.363 2.701 4.448
Te 1.388 4.034 -1.050
Ce 3.908 0.000 2.795
Ce 2.411 0.839 6.910
Ce 3.440 4.218 1.429
Te -1.992 5.072 1.895
Ca -0.004 3.367 4.136
Ce 3.410 5.896 -2.747
Te 1.335 6.055 3.028
```

Results
Fermi-level density of states = 2.554 states/eV/atom
Raw formation energy = -137 kJ/mol of atoms

=====

Record 5
# Ca6CeTe8

A relaxed structure of Ca6CeTe8 (PBE, Alexandria).

Structure (extended XYZ):
```
15
Lattice="-4.593 -7.297 2.677 2.866 -8.240 -2.322 3.497 -5.492 6.255" Properties=species:S:1:pos:R:3 pbc="T T T"
Ca -0.548 -6.395 4.466
Te 1.899 -9.351 0.425
Ce 0.000 0.000 0.000
Te 3.689 -12.161 3.626
Ca -0.863 -7.769 0.178
Ca 3.182 -6.866 1.966
Te 1.328 -15.772 4.957
Te -1.918 -8.868 2.983
Te -0.128 -11.679 6.184
Te 2.222 -7.944 4.815
Ca -2.296 -3.649 1.338
Te 0.443 -5.257 1.652
Ca 1.749 -2.746 3.127
Te -0.451 -13.085 1.795
Ca 1.433 -4.120 -1.161
```

Results
Raw formation energy = -148 kJ/mol of atoms

=====

Record 6
# CaCe3Te4

A relaxed structure of CaCe3Te4 (PBE, Alexandria).

Structure (extended XYZ):
```
8
Lattice="-0.216 2.930 3.367 -6.548 3.004 -3.034 -1.862 -5.786 4.916" Properties=species:S:1:pos:R:3 pbc="T T T"
Ca -0.108 1.465 1.683
Te -2.067 -0.684 0.462
Te -5.495 2.293 0.617
Ce -0.931 -2.893 2.458
Ce -4.313 0.075 2.624
Te -6.343 -2.098 1.419
Te -3.130 -2.144 4.631
Ce -3.274 1.502 -1.517
```

Results
Fermi-level density of states = 2.715 states/eV/atom
Raw formation energy = -136 kJ/mol of atoms

=====

Record 7
# Ca3CeTe4

A relaxed structure of Ca3CeTe4 (PBE, Alexandria).

Structure (extended XYZ):
```
16
Lattice="-2.929 -2.566 -2.172 4.052 0.704 -1.720 10.478 -24.407 14.704" Properties=species:S:1:pos:R:3 pbc="T T T"
Ce 4.345 -6.488 1.805
Ca 5.239 -12.203 7.352
Te 1.928 -4.491 2.705
Te 2.369 -1.886 -0.967
Ca 3.355 -10.691 3.530
Te 3.311 -7.713 4.646
Ca 0.000 0.000 0.000
Te 6.321 -11.090 4.578
Te 8.551 -19.916 11.998
Ca 10.921 -21.804 11.033
Te 7.167 -16.694 10.057
Te 9.233 -24.383 11.779
Ca 0.681 -4.464 -0.221
Ca 8.248 -15.578 7.282
Ce 7.257 -19.781 9.007
Te 5.281 -15.179 6.234
```

Results
Energy relative to the lowest polymorph listed for this composition = 0 kJ/mol of formula units
Fermi-level density of states = 0.944 states/eV/atom
Raw formation energy = -149 kJ/mol of atoms

=====

Record 8
# Ca4CeTe5

A relaxed structure of Ca4CeTe5 (PBE, Alexandria).

Structure (extended XYZ):
```
10
Lattice="-3.844 2.331 -0.405 -2.310 -3.531 1.602 4.890 6.177 14.305" Properties=species:S:1:pos:R:3 pbc="T T T"
Ca -2.714 0.517 3.584
Te -3.077 -0.600 0.599
Ca -1.992 2.740 9.524
Ca 1.449 4.460 11.919
Te 0.365 1.123 3.001
Te 1.088 3.348 8.948
Te -1.630 3.854 12.501
Te -2.353 1.628 6.554
Ca 0.727 2.237 5.978
Ce 0.000 0.000 0.000
```

Results
Fermi-level density of states = 0.918 states/eV/atom
Raw formation energy = -152 kJ/mol of atoms

=====

Record 9
# CaCe2Te3

A relaxed structure of CaCe2Te3 (PBE, Alexandria).

Structure (extended XYZ):
```
6
Lattice="-0.337 3.711 -2.437 -0.625 -3.522 -5.277 -6.290 -0.155 4.700" Properties=species:S:1:pos:R:3 pbc="T T T"
Te -1.590 1.892 -3.000
Te -3.313 1.778 1.131
Ce -5.426 -0.098 2.634
Te -5.661 -1.859 -0.014
Ca -3.626 0.017 -1.507
Ce -1.826 0.131 -5.648
```

Results
Fermi-level density of states = 2.441 states/eV/atom
Raw formation energy = -137 kJ/mol of atoms

=====

Record 10
# Ca2CeTe3

A relaxed structure of Ca2CeTe3 (PBE, Alexandria).

Structure (extended XYZ):
```
6
Lattice="-3.947 0.063 -2.134 -0.168 -6.396 0.123 -1.178 3.367 6.996" Properties=species:S:1:pos:R:3 pbc="T T T"
Ca -1.664 1.750 5.488
Ca -3.629 -4.716 -0.504
Te -1.769 -1.446 5.589
Ce -2.647 -1.483 2.492
Te -3.524 -1.520 -0.604
Te -2.562 1.715 2.431
```

Results
Fermi-level density of states = 1.582 states/eV/atom
Raw formation energy = -145 kJ/mol of atoms

=====

Record 11
# Ca3CeTe4

A relaxed structure of Ca3CeTe4 (PBE, Alexandria).

Structure (extended XYZ):
```
8
Lattice="-4.398 -0.503 -0.808 1.472 -0.520 -7.687 0.235 -7.166 3.183" Properties=species:S:1:pos:R:3 pbc="T T T"
Ca -1.346 -4.094 -2.656
Te 1.274 -5.736 -3.362
Te -1.654 -5.747 0.047
Ca 0.117 -3.583 1.591
Ca 0.736 -0.260 -3.844
Te -1.038 -2.442 -5.360
Ce -2.199 -0.251 -0.404
Te 0.433 -1.949 -1.142
```

Results
Energy relative to the lowest polymorph listed for this composition = 3 kJ/mol of formula units
Fermi-level density of states = 1.243 states/eV/atom
Raw formation energy = -148 kJ/mol of atoms

=====

Record 12
# CaCe6Te8

A relaxed structure of CaCe6Te8 (PBE, Alexandria).

Structure (extended XYZ):
```
15
Lattice="7.773 0.000 4.487 2.591 7.328 4.487 0.000 0.000 8.975" Properties=species:S:1:pos:R:3 pbc="T T T"
Te 3.898 5.479 6.752
Ca 0.000 0.000 0.000
Ce 5.182 3.664 4.487
Ce 0.000 0.000 4.487
Te 2.591 1.832 4.487
Te 2.615 1.849 8.975
Te 6.465 1.849 11.198
Ce 1.295 3.664 6.731
Te 6.465 1.849 6.752
Ce 3.886 0.000 6.731
Te 7.749 5.479 8.975
Te 7.773 5.496 13.462
Ce 1.295 3.664 2.244
Te 3.898 5.479 11.198
Ce 3.886 0.000 2.244
```

Results
Fermi-level density of states = 3.095 states/eV/atom
Raw formation energy = -135 kJ/mol of atoms

=====

Record 13
# Ca5CeTe6

A relaxed structure of Ca5CeTe6 (PBE, Alexandria).

Structure (extended XYZ):
```
12
Lattice="7.697 -0.117 -1.452 -4.157 6.479 -1.452 0.151 0.271 7.828" Properties=species:S:1:pos:R:3 pbc="T T T"
Ca -2.113 5.519 2.463
Ca -0.211 4.283 -1.452
Ce 0.000 0.000 0.000
Ca 5.804 1.113 2.463
Ca 3.751 2.079 -1.452
Te -1.058 2.777 1.240
Te 0.773 6.068 3.686
Ca 1.846 3.316 2.463
Te 2.918 0.564 1.240
Te 2.686 4.827 -0.205
Te 1.005 1.805 5.131
Te 4.749 3.855 3.686
```

Results
Fermi-level density of states = 0.940 states/eV/atom
Raw formation energy = -151 kJ/mol of atoms

=====

Record 14
# Ca2CeTe4

A relaxed structure of Ca2CeTe4 (PBE, Alexandria).

Structure (extended XYZ):
```
14
Lattice="-6.694 -4.790 -0.557 3.019 1.359 -7.556 5.737 -3.742 4.598" Properties=species:S:1:pos:R:3 pbc="T T T"
Te -1.867 -2.072 -5.922
Te 1.013 -3.956 -3.647
Te 0.666 -6.637 1.751
Ce -2.076 -3.848 -3.047
Te 3.984 -0.736 -5.078
Te -1.538 -3.016 -0.058
Ca 1.379 -4.216 -0.220
Te -0.534 -6.604 -1.827
Te 4.024 -4.255 2.006
Ca 4.415 -3.408 -3.365
Ca 0.922 -0.823 -4.305
Ce 0.000 0.000 0.000
Te 2.502 -1.414 -1.288
Ca -2.592 -5.897 0.860
```

Results
Fermi-level density of states = 0.293 states/eV/atom
Raw formation energy = -134 kJ/mol of atoms

=====

Record 15
# CaCe5Te6

A relaxed structure of CaCe5Te6 (PBE, Alexandria).

Structure (extended XYZ):
```
12
Lattice="-5.512 -3.546 -4.178 -5.188 -3.296 4.784 -6.238 4.048 2.364" Properties=species:S:1:pos:R:3 pbc="T T T"
Ce -7.625 0.513 4.765
Ce -5.350 -3.421 0.303
Ce -3.801 0.239 2.383
Te -10.468 -1.313 0.406
Te -2.653 -1.697 0.131
Te -6.470 -1.480 2.564
Ce -9.177 -3.141 2.685
Ce -7.761 0.348 0.285
Ca 0.000 0.000 0.000
Te -8.047 -5.145 0.474
Te -6.633 -1.606 -1.977
Te -10.306 -1.187 4.947
```

Results
Fermi-level density of states = 3.017 states/eV/atom
Raw formation energy = -134 kJ/mol of atoms

=====

Record 16
# Ca3Ce2ThTe6

A relaxed structure of Ca3Ce2ThTe6 (PBE, Alexandria).

Structure (extended XYZ):
```
12
Lattice="-0.398 -0.667 -4.346 -4.977 -7.510 1.608 -6.267 7.833 1.614" Properties=species:S:1:pos:R:3 pbc="T T T"
Te -8.902 -1.960 1.116
Te -2.740 1.616 -2.240
Ce -3.743 0.011 0.341
Ce -7.899 -0.354 -1.465
Te -3.758 -5.566 1.198
Ca -5.348 3.381 -2.271
Th -0.199 -0.333 -2.173
Ca -2.688 -4.088 -1.369
Te -5.252 -2.218 -1.421
Te -7.883 5.222 -2.322
Ca -6.294 -3.724 1.147
Te -6.389 1.874 0.297
```

Results
Fermi-level density of states = 1.500 states/eV/atom
Raw formation energy = -134 kJ/mol of atoms

=====

Record 17
# CaCe2TmTe4

A relaxed structure of CaCe2TmTe4 (PBE, Alexandria).

Structure (extended XYZ):
```
8
Lattice="4.395 0.000 0.000 0.000 7.630 0.139 0.000 -2.663 7.369" Properties=species:S:1:pos:R:3 pbc="T T T"
Te 0.000 5.092 1.863
Ce 2.197 -1.331 3.685
Te 2.197 3.754 5.735
Ce 0.000 2.483 3.754
Te 2.197 1.213 1.773
Te 0.000 -0.125 5.645
Tm 0.000 0.000 0.000
Ca 2.197 3.815 0.069
```

Results
Fermi-level density of states = 1.902 states/eV/atom
Raw formation energy = -132 kJ/mol of atoms

=====

Record 18
# Ca4CeTm3Te8

A relaxed structure of Ca4CeTm3Te8 (PBE, Alexandria).

Structure (extended XYZ):
```
16
Lattice="-7.051 1.050 5.138 -2.411 -8.433 -1.585 8.026 1.691 3.154" Properties=species:S:1:pos:R:3 pbc="T T T"
Ca 4.013 0.846 1.577
Te -3.090 -4.620 4.218
Ce -1.205 -4.217 -0.793
Te -1.913 -0.522 4.996
Ca 0.000 0.000 0.000
Tm 2.807 -3.371 0.784
Te -5.826 -1.347 3.458
Ca -3.526 0.525 2.569
Te 0.952 -3.834 5.754
Te 1.654 -1.072 2.489
Ca 0.487 1.370 4.146
Te -2.388 -1.858 0.953
Tm -0.718 -2.846 3.353
Tm -4.731 -3.692 1.776
Te 0.477 -5.170 1.711
Te 4.390 -4.346 3.249
```

Results
Fermi-level density of states = 0.754 states/eV/atom
Raw formation energy = -136 kJ/mol of atoms

=====

Record 19
# Ca3Ce2YTe6

A relaxed structure of Ca3Ce2YTe6 (PBE, Alexandria).

Structure (extended XYZ):
```
12
Lattice="4.442 0.000 0.000 0.000 9.048 0.213 -2.221 -2.722 9.448" Properties=species:S:1:pos:R:3 pbc="T T T"
Ca 2.221 -0.313 6.315
Ca 2.221 4.524 0.107
Ca 0.000 6.640 3.346
Te 2.221 -0.504 9.476
Te 2.221 -0.184 3.125
Ce 0.000 2.127 3.244
Te 0.000 6.831 0.186
Te 0.000 1.900 6.432
Te 2.221 4.427 3.230
Ce 2.221 4.200 6.417
Y 2.221 0.000 0.000
Te 0.000 6.511 6.537
```

Results
Fermi-level density of states = 1.435 states/eV/atom
Raw formation energy = -141 kJ/mol of atoms

=====

Record 20
# Ca3Ce3YTe8

A relaxed structure of Ca3Ce3YTe8 (PBE, Alexandria).

Structure (extended XYZ):
```
15
Lattice="8.949 0.000 0.000 -4.475 7.751 -0.026 0.000 -5.140 7.442" Properties=species:S:1:pos:R:3 pbc="T T T"
Te 6.751 -3.832 5.566
Te -2.276 6.442 1.850
Ce -2.237 1.305 3.708
Te 0.000 2.590 1.806
Ca 2.237 3.875 -0.013
Te 0.000 -0.024 5.555
Y 0.000 -2.570 3.721
Te 2.276 6.442 1.850
Ca 0.000 0.000 0.000
Te 4.475 2.635 1.861
Ce 4.475 -2.570 3.721
Ce 2.237 1.305 3.708
Te 4.475 0.020 5.610
Te 2.198 -3.832 5.566
Ca -2.237 3.875 -0.013
```

Results
Fermi-level density of states = 1.716 states/eV/atom
Raw formation energy = -142 kJ/mol of atoms

=====

Record 21
# Ca3CeY2Te6

A relaxed structure of Ca3CeY2Te6 (PBE, Alexandria).

Structure (extended XYZ):
```
12
Lattice="7.663 0.001 0.000 -3.829 6.638 0.000 -1.279 -2.214 7.388" Properties=species:S:1:pos:R:3 pbc="T T T"
Y 3.839 2.210 0.000
Te 2.529 4.379 1.832
Te 3.858 2.166 5.544
Ce 0.000 0.000 0.000
Te -0.052 4.424 5.544
Te 0.027 0.047 5.556
Te -1.302 2.259 1.844
Te 2.608 0.001 1.844
Ca -2.579 4.440 3.694
Ca 1.278 2.213 3.694
Y -0.004 4.430 0.000
Ca 5.135 -0.015 3.694
```

Results
Fermi-level density of states = 0.949 states/eV/atom
Raw formation energy = -141 kJ/mol of atoms